4
Lattice="-2.422 4.509 -0.959 -2.992 -4.191 -0.776 -0.809 0.107 2.543" Properties=species:S:1:pos:R:3 comment="PBE Mg2CuW, optimized geometry" dos_ef_per_ev_atom=0.21 polymorph_energy_ev_per_atom=0.140 volume_a3_per_cell=66.30 e_form_ev_per_atom=0.364 sg="Cmmm, No. 65" pbc="T T T"
Mg -2.707 0.159 -0.867
Cu -1.900 -2.042 0.884
Mg 0.000 0.000 0.000
W -1.615 2.308 0.792

4
Lattice="7.935 -0.009 -0.006 7.514 2.551 -0.006 7.514 1.236 2.232" Properties=species:S:1:pos:R:3 comment="PBE Mn2BeRh, optimized geometry" dos_ef_per_ev_atom=1.08 volume_a3_per_cell=45.45 e_form_ev_per_atom=0.033 sg="R3m, No. 160" pbc="T T T"
Rh 11.360 1.869 1.099
Mn 0.036 0.006 0.004
Be 17.205 2.831 1.664
Mn 5.842 0.961 0.565

8
Lattice="3.907 0.000 0.000 0.000 5.704 0.000 0.000 0.000 7.708" Properties=species:S:1:pos:R:3 comment="PBE PmSmCo2, optimized geometry" dos_ef_per_ev_atom=1.19 polymorph_energy_ev_per_atom=0.005 volume_a3_per_cell=171.79 e_form_ev_per_atom=-0.097 sg="Pmc2_1, No. 26" pbc="T T T"
Sm 0.000 4.945 1.375
Co 1.954 0.878 7.492
Co 0.000 1.948 0.211
Pm 1.954 2.092 2.483
Pm 1.954 3.612 6.337
Sm 0.000 0.759 5.229
Co 1.954 4.826 3.638
Co 0.000 3.756 4.065

10
Lattice="6.476 0.000 0.000 0.000 6.476 0.000 0.000 0.000 2.879" Properties=species:S:1:pos:R:3 comment="PBE Be2PIr2, optimized geometry" dos_ef_per_ev_atom=0.47 polymorph_energy_ev_per_atom=0.000 volume_a3_per_cell=120.73 e_form_ev_per_atom=-0.255 sg="P4/mbm, No. 127" pbc="T T T"
Ir 1.093 2.146 0.000
Be 5.668 2.430 1.439
Be 4.046 5.668 1.439
P 0.000 0.000 0.000
P 3.238 3.238 0.000
Ir 5.384 4.331 0.000
Ir 2.146 5.384 0.000
Ir 4.331 1.093 0.000
Be 2.430 0.808 1.439
Be 0.808 4.046 1.439

10
Lattice="-0.492 -2.775 -1.907 4.307 -1.208 3.684 -4.447 -2.271 4.454" Properties=species:S:1:pos:R:3 comment="PBE UCo2SiN, optimized geometry" dos_ef_per_ev_atom=1.34 volume_a3_per_cell=126.13 sg="Cmcm, No. 63" raw_formation_energy_mev_per_atom=-754.9 pbc="T T T"
N -2.223 -1.135 2.227
Si -1.702 -4.292 3.650
U 0.395 -4.088 5.849
Co -1.089 -2.121 3.369
Si 1.070 -1.963 2.581
N 0.000 0.000 0.000
Co -2.859 -3.025 5.142
Co 0.457 -4.133 2.862
U -1.027 -2.167 0.382
Co 2.227 -3.230 1.089

12
Lattice="3.930 0.000 0.000 0.000 3.930 0.000 0.000 0.000 11.756" Properties=species:S:1:pos:R:3 comment="PBE V2AgPd9, optimized geometry" dos_ef_per_ev_atom=0.59 volume_a3_per_cell=181.54 e_form_ev_per_atom=-0.191 sg="P4/mmm, No. 123" pbc="T T T"
V 0.000 0.000 3.841
Pd 1.965 0.000 5.878
Pd 1.965 0.000 2.104
Pd 1.965 1.965 0.000
Pd 0.000 1.965 2.104
V 0.000 0.000 7.915
Pd 1.965 1.965 7.760
Pd 0.000 1.965 5.878
Pd 1.965 0.000 9.652
Pd 1.965 1.965 3.996
Ag 0.000 0.000 0.000
Pd 0.000 1.965 9.652

5
Lattice="5.033 0.000 0.000 0.000 5.033 0.000 0.000 0.000 4.409" Properties=species:S:1:pos:R:3 comment="PBE Sc2AsRuN, optimized geometry" dos_ef_per_ev_atom=0.59 volume_a3_per_cell=111.69 sg="P4/mmm, No. 123" raw_formation_energy_mev_per_atom=887.0 pbc="T T T"
N 2.517 2.517 2.204
Sc 2.517 0.000 0.000
Ru 0.000 0.000 2.204
As 0.000 0.000 0.000
Sc 0.000 2.517 0.000

10
Lattice="3.429 0.000 0.000 0.000 3.429 0.000 0.000 0.000 17.662" Properties=species:S:1:pos:R:3 comment="PBE Er5IrPd4, optimized geometry" dos_ef_per_ev_atom=0.63 volume_a3_per_cell=207.70 e_form_ev_per_atom=-0.923 sg="P4/mmm, No. 123" pbc="T T T"
Er 1.715 1.715 5.263
Pd 0.000 0.000 7.053
Er 1.715 1.715 12.399
Ir 0.000 0.000 0.000
Er 1.715 1.715 8.831
Er 1.715 1.715 16.007
Pd 0.000 0.000 3.523
Er 1.715 1.715 1.655
Pd 0.000 0.000 14.140
Pd 0.000 0.000 10.610

8
Lattice="-1.368 2.401 -2.815 -3.646 -1.387 0.590 -1.933 8.603 8.276" Properties=species:S:1:pos:R:3 comment="PBE KPIrAu, optimized geometry" dos_ef_per_ev_atom=0.26 volume_a3_per_cell=188.20 e_form_ev_per_atom=-0.483 sg="P4/nmm, No. 129" pbc="T T T"
Au -4.043 3.862 3.876
K -2.664 6.532 5.484
Ir -3.077 -0.440 -0.262
Ir -1.938 1.454 -1.964
P -1.461 1.177 0.332
P -5.486 8.440 5.718
K -4.283 3.085 0.566
Au -2.904 5.755 2.174

29
Lattice="7.828 0.000 -2.767 -3.914 6.779 -2.767 0.000 0.000 8.302" Properties=species:S:1:pos:R:3 comment="PBE Nd4Zr6O19, optimized geometry" dos_ef_per_ev_atom=0.74 volume_a3_per_cell=440.55 sg="I23, No. 197" raw_formation_energy_mev_per_atom=-3082.6 pbc="T T T"
O 2.525 4.373 -3.571
Nd 0.000 0.000 5.871
Nd 1.146 1.985 0.810
O 1.540 2.224 3.087
O -1.389 2.406 1.964
Zr 5.211 2.247 0.933
O 5.070 4.333 -2.448
Zr 3.254 1.142 3.700
O 2.716 5.148 -0.803
O -0.814 1.853 4.731
Zr 0.638 3.389 4.602
O 2.778 0.000 1.964
O 0.276 4.926 3.190
Zr 0.660 5.637 -0.933
O 1.389 2.406 -1.964
O 5.050 0.000 3.571
Nd 5.535 0.000 -1.957
O 5.131 0.221 0.319
O -2.525 4.373 3.571
O -1.902 6.558 1.964
O 4.062 1.631 5.596
Nd -2.768 4.794 -1.957
O 4.384 2.702 2.829
Zr -1.297 4.532 1.835
O 0.000 0.000 0.000
O 0.215 4.077 0.423
O -0.490 4.555 -2.345
O 3.296 2.446 0.061
Zr 3.276 3.389 -1.835

5
Lattice="4.609 0.000 0.000 0.000 4.609 0.000 0.000 0.000 4.609" Properties=species:S:1:pos:R:3 comment="PBE RbNi3Ge, optimized geometry" dos_ef_per_ev_atom=0.75 polymorph_energy_ev_per_atom=0.000 volume_a3_per_cell=97.90 e_form_ev_per_atom=0.559 sg="Pm-3m, No. 221" pbc="T T T"
Ge 0.000 0.000 0.000
Ni 0.000 0.000 2.304
Rb 2.304 2.304 2.304
Ni 0.000 2.304 0.000
Ni 2.304 0.000 0.000

14
Lattice="-1.507 3.549 -6.440 -3.240 -6.768 -0.193 -2.703 3.771 5.901" Properties=species:S:1:pos:R:3 comment="PBE Ce8Ru5Au, optimized geometry" dos_ef_per_ev_atom=1.72 volume_a3_per_cell=325.30 e_form_ev_per_atom=-0.372 sg="I-4, No. 82" pbc="T T T"
Ce -2.054 0.548 0.519
Ce -5.345 -1.014 5.003
Ce -3.580 -1.502 -1.846
Ce -3.952 -2.826 1.902
Ru -1.701 -2.033 0.599
Ce -6.238 -0.325 0.865
Ru -4.831 -1.990 -4.210
Au -4.024 0.331 2.719
Ru -3.565 4.186 3.357
Ce -2.459 2.116 4.490
Ce -2.902 2.340 -2.557
Ce -4.467 3.091 1.038
Ru -4.803 0.940 -1.210
Ru -2.105 3.660 -0.270